Entry from Alexandria via LeMat-Bulk: crystalline Ca3AlCd2Au8 at its relaxed geometry (PBE). Values from VASP.

## Properties
The total energy is -3.1571 eV/atom. The value obtained for the formation energy is -0.46 eV per atom. For the total magnetization, the calculation gives 0.000 μB per atom.

Geometry as Quantum ESPRESSO input:
```
&SYSTEM
  ibrav = 0, nat = 14, ntyp = 4
/
ATOMIC_SPECIES
Ca 40.08 Ca.upf
Al 26.98 Al.upf
Cd 112.41 Cd.upf
Au 196.97 Au.upf
CELL_PARAMETERS angstrom
5.680 0.000 0.000
-2.840 4.919 0.000
0.000 0.000 10.890
ATOMIC_POSITIONS crystal
Ca 0.000 0.000 0.000
Ca 0.333 0.667 0.569
Ca 0.667 0.333 0.431
Al 0.000 0.000 0.500
Cd 0.333 0.667 0.093
Cd 0.667 0.333 0.907
Au 0.167 0.334 0.310
Au 0.167 0.833 0.310
Au 0.333 0.667 0.846
Au 0.334 0.167 0.690
Au 0.666 0.833 0.310
Au 0.667 0.333 0.154
Au 0.833 0.167 0.690
Au 0.833 0.666 0.690
```